This record from Alexandria via LeMat-Bulk describes a relaxed ScMo2 crystal. The functional is PBE-GGA.

Output
The calculation puts the spin magnetization at 0.0 Bohr magnetons per cell. The calculation puts the energy of formation from the pure elements at 337 meV/atom. The value obtained for the total energy is -27.0 eV per formula unit.

a = 3.830 Å, b = 3.830 Å, c = 14.637 Å
α = 97.52°, β = 97.52°, γ = 90.00°
Fractional coordinates of all 12 atoms:
Sc 0.084 0.084 0.168
Sc 0.916 0.916 0.832
Sc 0.334 0.834 0.668
Sc 0.166 0.666 0.332
Mo 0.250 0.250 0.500
Mo 0.000 0.500 0.000
Mo 0.500 0.000 0.000
Mo 0.827 0.327 0.653
Mo 0.750 0.750 0.500
Mo 0.577 0.577 0.153
Mo 0.673 0.173 0.347
Mo 0.423 0.423 0.847